! PBE Mn2FeOs, relaxed; values from VASP
&SYSTEM
  ibrav = 0, nat = 4, ntyp = 3
/
ATOMIC_SPECIES
Mn 54.94 Mn.upf
Fe 55.84 Fe.upf
Os 190.23 Os.upf
CELL_PARAMETERS angstrom
1.4004 -2.1651 0.0000
1.4004 2.1651 0.0000
0.0000 0.0000 8.3202
ATOMIC_POSITIONS angstrom
Mn 0.0000 0.0000 2.0062
Mn 0.0000 0.0000 6.3141
Fe 1.4004 0.0000 0.0000
Os 1.4004 0.0000 4.1601
! Magnetization ... 6.21 μB per cell
! Space group ... Cmmm, No. 65
! Formation energy from the elements ... 0.253 eV per atom
! D(E_F) ... 4.998 states/eV/f.u.
! VASP energy ... -9.25 eV/atom